# 1
# Pr7Ir3 PBEsol relaxed
data_Pr7Ir3
_cell_length_a 10.0525
_cell_length_b 10.0525
_cell_length_c 6.2964
_cell_angle_alpha 90.00
_cell_angle_beta 90.00
_cell_angle_gamma 120.00
_space_group_name_H-M_alt 'P 63 m c'
_space_group_IT_number 186
_space_group_name_Hall 'P 6c -2c'
loop_
_atom_site_label
_atom_site_type_symbol
_atom_site_fract_x
_atom_site_fract_y
_atom_site_fract_z
Pr1 Pr 0.0761 0.5381 0.0000
Pr2 Pr 0.1263 0.2527 0.2948
Pr3 Pr 0.3333 0.6667 0.5279
Ir1 Ir 0.1877 0.3753 0.7504
# D(E_F)	11.7	states/eV/f.u.
# raw total energy	-7.03	eV per atom

# 2
# Pr2IrRh PBEsol relaxed
data_Pr2IrRh
_cell_length_a 7.026
_cell_length_b 7.026
_cell_length_c 7.026
_cell_angle_alpha 90.00
_cell_angle_beta 90.00
_cell_angle_gamma 90.00
_space_group_name_H-M_alt 'F m -3 m'
_space_group_IT_number 225
_space_group_name_Hall '-F 4 2 3'
loop_
_atom_site_label
_atom_site_type_symbol
_atom_site_fract_x
_atom_site_fract_y
_atom_site_fract_z
Pr1 Pr 0.250 0.250 0.250
Ir1 Ir 0.000 0.000 0.000
Rh1 Rh 0.000 0.000 0.500
# D(E_F)	2.2	states/eV/f.u.
# raw total energy	-7.58	eV per atom